DFT (GGA-PBE) results for crystalline KSbPt at its relaxed geometry.

Its energy above the most stable polymorph in this dataset is 0.510 eV per atom. The calculation puts the total energy at -3.733 eV per atom. The calculated volume comes out at 27.1 Å³/atom.

It has space group F-43m (No. 216), with a = 6.879 Å, b = 6.879 Å, c = 6.879 Å, α = 90.00°, β = 90.00° and γ = 90.00°. The inequivalent atoms are K at (0.000, 0.000, 0.000), Sb at (0.000, 0.000, 0.500) and Pt at (0.250, 0.250, 0.250).